VASP calculation (GGA-PBE) on crystalline Ca3InGa3 at its relaxed geometry.

Output
Magnetization (μB/cell): 0.00
Density of states at the Fermi level (states/eV per atom): 0.44
E (eV per atom): -3.01
DFT formation energy (kJ/mol of formula units): -311
Density (Mg/m³): 4.070

Cell lengths 4.582, 6.098, 14.194 Å; angles 84.48, 80.71, 67.93 degrees
Fractional coordinates of all 14 atoms:
Ga  0.102  0.870  0.926
Ga  0.879  0.702  0.541
Ga  0.971  0.836  0.223
Ga  0.121  0.298  0.459
Ga  0.898  0.130  0.074
Ga  0.029  0.164  0.777
Ca  0.525  0.326  0.625
Ca  0.262  0.256  0.220
Ca  0.392  0.291  0.925
Ca  0.475  0.674  0.375
Ca  0.738  0.744  0.780
Ca  0.608  0.709  0.075
In  0.239  0.916  0.606
In  0.761  0.084  0.394

VASP calculation (GGA-PBE) on crystalline Ba2AsAu at its relaxed geometry.

Output
Magnetization (μB/cell): 0.00
Density of states at the Fermi level (states/eV per atom): 0.26
E (eV per atom): -3.36
DFT formation energy (kJ/mol of formula units): -162
Density (Mg/m³): 7.438

Cell lengths 5.567, 5.567, 5.567 Å; angles 60.00, 60.00, 60.00 degrees
Fractional coordinates of all 4 atoms:
Ba  0.250  0.250  0.250
Ba  0.000  0.000  0.000
Au  0.750  0.750  0.750
As  0.500  0.500  0.500

VASP calculation (GGA-PBE) on crystalline NaTcSCl2 at its relaxed geometry.

Output
Magnetization (μB/cell): 0.67
Density of states at the Fermi level (states/eV per atom): 0.42
E (eV per atom): -4.50
Raw formation energy (eV/atom): -0.60
Density (Mg/m³): 3.261

Cell lengths 5.054, 5.054, 4.464 Å; angles 90.00, 90.00, 90.00 degrees
Fractional coordinates of all 5 atoms:
Tc  0.000  0.000  0.000
Cl  0.500  0.000  0.000
Cl  0.000  0.500  0.000
S  0.000  0.000  0.500
Na  0.500  0.500  0.500

VASP calculation (GGA-PBE) on crystalline LiNdEu2 at its relaxed geometry.

Output
Magnetization (μB/cell): 14.74
Density of states at the Fermi level (states/eV per atom): 2.63
E (eV per atom): -6.69
DFT formation energy (kJ/mol of formula units): 47
Density (Mg/m³): 5.337

Cell lengths 3.965, 5.976, 5.976 Å; angles 90.00, 90.00, 90.00 degrees
Fractional coordinates of all 4 atoms:
Nd  0.500  0.500  0.500
Eu  0.000  0.000  0.500
Eu  0.000  0.500  0.000
Li  0.500  0.000  0.000

> Which formula does entry 2 have?

Ba2AsAu